LiCdCuSi: relaxed, PBE.

abc: 6.163 6.163 6.163
angles: 90.00 90.00 90.00
Space group F-43m (No. 216)
One atom of each set of equivalent atoms:
Li 0.000 0.000 0.000 (multiplicity 4)
Cd 0.250 0.250 0.750 (multiplicity 4)
Cu 0.000 0.000 0.500 (multiplicity 4)
Si 0.250 0.250 0.250 (multiplicity 4)

Values from the calculation:
**Crystal system**: cubic
**Electronic total energy**: -2.995 eV/atom
**Relative energy among the computed polymorphs**: 0 meV per atom

***

Tm3Ni13C2: relaxed, PBE.

abc: 4.9329 4.9329 10.7432
angles: 90.00 90.00 120.00
Space group P6/mmm (No. 191)
One atom of each set of equivalent atoms:
Tm 0.0000 0.0000 0.0000 (multiplicity 1)
Tm 0.0000 0.0000 0.3295 (multiplicity 2)
Ni 0.0000 0.5000 0.1255 (multiplicity 6)
Ni 0.0000 0.5000 0.5000 (multiplicity 3)
Ni 0.3333 0.6667 0.3156 (multiplicity 4)
C 0.3333 0.6667 0.0000 (multiplicity 2)

Values from the calculation:
**Crystal system**: hexagonal
**Electronic total energy**: -6.096 eV/atom
**Magnetization**: 1.0 μB/f.u.

***

Nd2Tc2O5: relaxed, PBE.

abc: 4.021 4.021 6.845
angles: 90.00 90.00 90.00
Space group P4/mmm (No. 123)
One atom of each set of equivalent atoms:
Nd 0.000 0.000 0.000 (multiplicity 1)
Nd 0.000 0.000 0.500 (multiplicity 1)
Tc 0.500 0.500 0.174 (multiplicity 2)
O 0.000 0.500 0.232 (multiplicity 4)
O 0.500 0.500 0.500 (multiplicity 1)

Values from the calculation:
**Crystal system**: tetragonal
**Electronic total energy**: -8.089 eV/atom
**Magnetization**: 0.0 μB/f.u.
**Relative energy among the computed polymorphs**: 0 meV per atom